No. 1
Material: ScAl2Fe
Method: DFT, PBEsol
State: relaxed

Structure (extended XYZ):
```
4
Lattice="-1.5873 2.1979 4.3170 1.5873 -2.1979 4.3170 1.5873 2.1979 -4.3170" Properties=species:S:1:pos:R:3 pbc="T T T"
Sc 0.0000 0.0000 0.0000
Al 1.5873 0.0000 2.4143
Al 0.0000 0.0000 4.8007
Fe 0.0000 2.1979 2.3753
```

Results
Volume, Å³ per cell: 60.2
Density, g/cm³: 4.3
Final energy, eV/cell: -24.4

=====

No. 2
Material: ScAl2Fe
Method: DFT, PBEsol
State: relaxed

Structure (extended XYZ):
```
8
Lattice="-1.8832 1.8832 9.4317 1.8832 -1.8832 9.4317 1.8832 1.8832 -9.4317" Properties=species:S:1:pos:R:3 pbc="T T T"
Sc 0.0000 0.0000 0.0000
Sc 0.0000 1.8832 4.7159
Al 0.9416 -0.8678 7.0738
Al 1.0154 0.9416 2.3579
Al 0.9416 2.7510 -2.3579
Al 0.8678 0.9416 11.7896
Fe 1.8832 0.0000 4.7159
Fe 0.0000 0.0000 9.4317
```

Results
Volume, Å³ per cell: 133.8
Density, g/cm³: 3.8
Final energy, eV/cell: -45.8

=====

No. 3
Material: ScAl8Fe4
Method: DFT, PBEsol
State: relaxed

Structure (extended XYZ):
```
13
Lattice="-4.2551 4.2551 2.4741 4.2551 -4.2551 2.4741 4.2551 4.2551 -2.4741" Properties=species:S:1:pos:R:3 pbc="T T T"
Sc 0.0000 0.0000 0.0000
Al 2.8524 0.0000 0.0000
Al 5.6579 0.0000 0.0000
Al 4.2551 2.4023 0.0000
Al 0.0000 2.8524 0.0000
Al 2.4023 4.2551 0.0000
Al 1.8529 0.0000 2.4741
Al 0.0000 5.6579 0.0000
Al 0.0000 1.8529 2.4741
Fe 2.1276 2.1276 -1.2371
Fe 2.1276 -2.1276 1.2371
Fe -2.1276 2.1276 1.2371
Fe 2.1276 2.1276 1.2371
```

Results
Volume, Å³ per cell: 179.2
Density, g/cm³: 4.5
Final energy, eV/cell: -80.7

=====

No. 4
Material: ScAlFe2
Method: DFT, PBEsol
State: relaxed

Structure (extended XYZ):
```
4
Lattice="1.4272 0.8240 8.2928 -1.4272 0.8240 8.2928 0.0000 -1.6480 8.2928" Properties=species:S:1:pos:R:3 pbc="T T T"
Sc 0.0000 0.0000 0.0000
Al 0.0000 0.0000 19.1157
Fe 0.0000 0.0000 6.1978
Fe 0.0000 0.0000 12.7650
```

Results
Volume, Å³ per cell: 58.5
Density, g/cm³: 5.2
Final energy, eV/cell: -28.0

=====

No. 5
Material: ScAlFe
Method: DFT, PBEsol
State: relaxed

Structure (extended XYZ):
```
3
Lattice="-1.5235 1.5235 4.8244 1.5235 -1.5235 4.8244 1.5235 1.5235 -4.8244" Properties=species:S:1:pos:R:3 pbc="T T T"
Sc 0.0000 0.0000 0.0000
Al 0.0000 0.0000 6.8837
Fe 0.0000 0.0000 3.2832
```

Results
Volume, Å³ per cell: 44.8
Density, g/cm³: 4.7
Final energy, eV/cell: -20.6

=====

No. 6
Material: ScAl2Fe
Method: DFT, PBEsol
State: relaxed

Structure (extended XYZ):
```
4
Lattice="2.9301 0.0000 0.0000 0.0000 2.9301 0.0000 0.0000 0.0000 6.9469" Properties=species:S:1:pos:R:3 pbc="T T T"
Sc 0.0000 0.0000 0.0000
Al 1.4651 1.4651 2.1436
Al 1.4651 1.4651 4.8033
Fe 0.0000 0.0000 3.4734
```

Results
Volume, Å³ per cell: 59.6
Density, g/cm³: 4.3
Final energy, eV/cell: -25.2

=====

No. 7
Material: ScAl2Fe
Method: DFT, PBEsol
State: relaxed

Structure (extended XYZ):
```
4
Lattice="-1.5524 2.2215 4.4530 1.5524 -2.2215 4.4530 1.5524 2.2215 -4.4530" Properties=species:S:1:pos:R:3 pbc="T T T"
Sc 0.0000 0.0000 0.0000
Al 1.5524 0.0000 2.5005
Al 0.0000 2.2215 1.9525
Fe 0.0000 0.0000 4.4530
```

Results
Volume, Å³ per cell: 61.4
Density, g/cm³: 4.2
Final energy, eV/cell: -24.6

=====

No. 8
Material: ScAl6Fe6
Method: DFT, PBEsol
State: relaxed

Structure (extended XYZ):
```
13
Lattice="-2.4441 4.1526 4.2230 2.4441 -4.1526 4.2230 2.4441 4.1526 -4.2230" Properties=species:S:1:pos:R:3 pbc="T T T"
Sc 0.0000 0.0000 0.0000
Al 2.4441 0.0000 1.5439
Al 0.0000 2.7589 0.0000
Al 0.0000 0.0000 2.8963
Al 0.0000 0.0000 5.5496
Al 0.0000 5.5462 0.0000
Al 0.0000 4.1526 2.6791
Fe 1.2221 2.0763 -2.1115
Fe 1.2221 -2.0763 2.1115
Fe 2.4441 1.9969 0.0000
Fe -1.2221 2.0763 2.1115
Fe 1.2221 2.0763 2.1115
Fe 0.0000 2.1556 4.2230
```

Results
Volume, Å³ per cell: 171.4
Density, g/cm³: 5.2
Final energy, eV/cell: -90.0

=====

No. 9
Material: ScAlFe2
Method: DFT, PBEsol
State: relaxed

Structure (extended XYZ):
```
4
Lattice="3.0890 0.0000 0.0000 0.0000 3.0890 0.0000 0.0000 0.0000 5.7027" Properties=species:S:1:pos:R:3 pbc="T T T"
Sc 0.0000 0.0000 0.0000
Al 0.0000 0.0000 2.8513
Fe 1.5445 1.5445 1.6577
Fe 1.5445 1.5445 4.0450
```

Results
Volume, Å³ per cell: 54.4
Density, g/cm³: 5.6
Final energy, eV/cell: -29.4

=====

No. 10
Material: Al2FeSe
Method: DFT, PBEsol
State: relaxed

Structure (extended XYZ):
```
4
Lattice="2.8124 0.0000 0.0000 0.0000 2.8124 0.0000 0.0000 0.0000 7.7880" Properties=species:S:1:pos:R:3 pbc="T T T"
Al 0.0000 0.0000 1.3863
Al 0.0000 0.0000 6.4017
Fe 1.4062 1.4062 0.0000
Se 1.4062 1.4062 3.8940
```

Results
Volume, Å³ per cell: 61.6
Uncorrected formation energy, eV per atom: -0.1162
Density, g/cm³: 5.1

=====

No. 11
Material: AlFe2Se
Method: DFT, PBEsol
State: relaxed

Structure (extended XYZ):
```
4
Lattice="1.4113 0.8148 7.3969 -1.4113 0.8148 7.3969 0.0000 -1.6296 7.3969" Properties=species:S:1:pos:R:3 pbc="T T T"
Al 0.0000 0.0000 0.0000
Fe 0.0000 0.0000 5.4383
Fe 0.0000 0.0000 16.7524
Se 0.0000 0.0000 11.0954
```

Results
Energy relative to the lowest polymorph listed for this composition, kcal/mol of atoms: 2.882
Volume, Å³ per cell: 51.0
Uncorrected formation energy, eV per atom: 0.0720
Density, g/cm³: 7.1

=====

No. 12
Material: AlFe2Se
Method: DFT, PBEsol
State: relaxed

Structure (extended XYZ):
```
4
Lattice="-1.8729 1.8729 3.7789 1.8729 -1.8729 3.7789 1.8729 1.8729 -3.7789" Properties=species:S:1:pos:R:3 pbc="T T T"
Al 0.0000 0.0000 0.0000
Fe 1.8729 0.0000 1.8895
Fe 0.0000 1.8729 1.8895
Se 0.0000 0.0000 3.7789
```

Results
Energy relative to the lowest polymorph listed for this composition, kcal/mol of atoms: 5.709
Volume, Å³ per cell: 53.0
Uncorrected formation energy, eV per atom: 0.1946
Density, g/cm³: 6.8

=====

No. 13
Material: AlFe3Se
Method: DFT, PBEsol
State: relaxed

Structure (extended XYZ):
```
5
Lattice="4.3160 0.0000 0.0000 0.0000 4.3160 0.0000 0.0000 0.0000 4.3160" Properties=species:S:1:pos:R:3 pbc="T T T"
Al 0.0000 0.0000 0.0000
Fe 0.0000 0.0000 2.1580
Fe 0.0000 2.1580 0.0000
Fe 2.1580 0.0000 0.0000
Se 2.1580 2.1580 2.1580
```

Results
Volume, Å³ per cell: 80.4
Uncorrected formation energy, eV per atom: 1.1479
Density, g/cm³: 5.6

=====

No. 14
Material: Al2FeSe
Method: DFT, PBEsol
State: relaxed

Structure (extended XYZ):
```
4
Lattice="-1.6119 2.2059 3.9818 1.6119 -2.2059 3.9818 1.6119 2.2059 -3.9818" Properties=species:S:1:pos:R:3 pbc="T T T"
Al 0.0000 0.0000 1.9290
Al 0.0000 0.0000 6.0345
Fe 1.6119 0.0000 0.0000
Se 0.0000 2.2059 0.0000
```

Results
Volume, Å³ per cell: 56.6
Uncorrected formation energy, eV per atom: 0.0664
Density, g/cm³: 5.5

=====

No. 15
Material: Al2FeSe
Method: DFT, PBEsol
State: relaxed

Structure (extended XYZ):
```
4
Lattice="2.6020 -3.6643 0.0000 2.6020 3.6643 0.0000 0.0000 0.0000 3.0789" Properties=species:S:1:pos:R:3 pbc="T T T"
Al 1.3010 1.8322 0.0000
Al 1.3010 -1.8322 0.0000
Fe 0.0000 0.0000 1.5394
Se 2.6020 0.0000 1.5394
```

Results
Volume, Å³ per cell: 58.7
Uncorrected formation energy, eV per atom: 0.0533
Density, g/cm³: 5.3

=====

No. 16
Material: Al2FeSe
Method: DFT, PBEsol
State: relaxed

Structure (extended XYZ):
```
4
Lattice="1.5186 0.8768 7.5476 -1.5186 0.8768 7.5476 0.0000 -1.7536 7.5476" Properties=species:S:1:pos:R:3 pbc="T T T"
Al 0.0000 0.0000 5.4922
Al 0.0000 0.0000 17.1504
Fe 0.0000 0.0000 11.3213
Se 0.0000 0.0000 0.0000
```

Results
Volume, Å³ per cell: 60.3
Uncorrected formation energy, eV per atom: -0.0428
Density, g/cm³: 5.2

=====

No. 17
Material: AlFe2Se
Method: DFT, PBEsol
State: relaxed

Structure (extended XYZ):
```
4
Lattice="2.8978 0.0000 0.0000 0.0000 2.8978 0.0000 0.0000 0.0000 5.6904" Properties=species:S:1:pos:R:3 pbc="T T T"
Al 0.0000 0.0000 0.0000
Fe 1.4489 1.4489 1.4517
Fe 1.4489 1.4489 4.2387
Se 0.0000 0.0000 2.8452
```

Results
Energy relative to the lowest polymorph listed for this composition, kcal/mol of atoms: 0.000
Volume, Å³ per cell: 47.8
Uncorrected formation energy, eV per atom: -0.0530
Density, g/cm³: 7.6

=====

No. 18
Material: AlFe2Se
Method: DFT, PBEsol
State: relaxed

Structure (extended XYZ):
```
4
Lattice="3.2595 0.0000 0.0000 0.0000 3.8039 0.0000 0.0000 0.0000 4.2562" Properties=species:S:1:pos:R:3 pbc="T T T"
Al 0.0000 0.0000 0.0000
Fe 0.0000 1.9019 2.1281
Fe 1.6298 1.9019 0.0000
Se 1.6298 0.0000 2.1281
```

Results
Energy relative to the lowest polymorph listed for this composition, kcal/mol of atoms: 4.246
Volume, Å³ per cell: 52.8
Uncorrected formation energy, eV per atom: 0.1312
Density, g/cm³: 6.8

=====

No. 19
Material: AlFeSe
Method: DFT, PBEsol
State: relaxed

Structure (extended XYZ):
```
3
Lattice="3.9652 0.0000 0.0000 -1.9826 3.4340 0.0000 0.0000 0.0000 3.2296" Properties=species:S:1:pos:R:3 pbc="T T T"
Al 0.0000 0.0000 0.0000
Fe 1.9826 1.1447 1.6148
Se 0.0000 2.2893 1.6148
```

Results
Volume, Å³ per cell: 44.0
Uncorrected formation energy, eV per atom: 0.0789
Density, g/cm³: 6.1

=====

No. 20
Material: Al3Fe2Si
Method: DFT, PBEsol
State: relaxed

Structure (extended XYZ):
```
24
Lattice="0.0000 5.3255 5.3255 5.3255 0.0000 5.3255 5.3255 5.3255 0.0000" Properties=species:S:1:pos:R:3 pbc="T T T"
Al 3.9941 3.9941 0.8104
Al 3.9941 0.8104 3.9941
Al 7.1779 3.9941 3.9941
Al 6.6569 6.6569 3.4732
Al 6.6569 3.4732 6.6569
Al 9.8406 6.6569 6.6569
Al 0.8104 3.9941 3.9941
Al 3.9941 7.1779 3.9941
Al 3.9941 3.9941 7.1779
Al 3.4732 6.6569 6.6569
Al 6.6569 9.8406 6.6569
Al 6.6569 6.6569 9.8406
Fe 3.0411 3.0411 3.0411
Fe 4.9472 4.9472 3.0411
Fe 4.9472 3.0411 4.9472
Fe 7.6100 5.7039 5.7039
Fe 3.0411 4.9472 4.9472
Fe 5.7039 7.6100 5.7039
Fe 5.7039 5.7039 7.6100
Fe 7.6100 7.6100 7.6100
Si 5.3255 2.6628 2.6628
Si 2.6628 5.3255 2.6628
Si 2.6628 2.6628 5.3255
Si 5.3255 5.3255 5.3255
```

Results
Volume, Å³ per cell: 302.1
Uncorrected formation energy, eV per atom: -0.4550
Density, g/cm³: 4.9